1.
Here is FeAgW2 after structural relaxation from the Alexandria database. Energies are from PBE-GGA.

abc: 3.725 3.725 10.046
angles: 79.32 79.32 90.00
Element x y z (fractional)
Ag (0.000, 0.000, 0.000)
Ag (0.750, 0.250, 0.500)
W (0.612, 0.125, 0.250)
W (0.138, 0.625, 0.250)
W (0.375, 0.388, 0.750)
W (0.875, 0.862, 0.750)
Fe (0.500, 0.500, 0.000)
Fe (0.250, 0.750, 0.500)

**Total moment**: 2.6 μB/f.u.
**Total energy**: -8.2516 eV per atom
**DFT formation energy**: 4.21 eV/f.u.
**Energy relative to the lowest polymorph listed for this composition**: 738 meV/atom


2.
Here is FeAgW2 after structural relaxation from the Alexandria database. Energies are from PBE-GGA.

abc: 5.376 5.205 2.655
angles: 82.71 75.65 116.95
Element x y z (fractional)
Ag (0.000, 0.500, 0.500)
Fe (0.500, 0.500, 0.000)
W (0.000, 0.000, 0.000)
W (0.500, 0.000, 0.500)

**Total moment**: 2.1 μB/f.u.
**Total energy**: -8.7570 eV per atom
**DFT formation energy**: 2.19 eV/f.u.
**Energy relative to the lowest polymorph listed for this composition**: 232 meV/atom


3.
Here is FeAg2W after structural relaxation from the Alexandria database. Energies are from PBE-GGA.

abc: 2.731 2.731 9.149
angles: 90.00 90.00 110.39
Element x y z (fractional)
Ag (0.000, 0.000, 0.996)
Ag (0.500, 0.500, 0.265)
Fe (0.000, 0.000, 0.512)
W (0.500, 0.500, 0.727)

**Total moment**: 2.1 μB/f.u.
**Total energy**: -6.4336 eV per atom
**DFT formation energy**: 1.38 eV/f.u.
**Energy relative to the lowest polymorph listed for this composition**: 0 meV/atom


Among the records above, which one has the lowest DFT formation energy? FeAg2W


Which value of energy relative to the lowest polymorph listed for this composition does entry 3 give? 0 meV/atom


Among the records above, which one has the lowest energy relative to the lowest polymorph listed for this composition? FeAg2W